A geometry-optimized Pm2TmMg5 structure. Source: Alexandria, functional GGA-PBE.

a = 5.225 Å, b = 5.225 Å, c = 8.660 Å
α = 107.56°, β = 107.56°, γ = 90.00°
Element x y z (fractional)
Pm  0.743  0.743  0.485
Pm  0.257  0.257  0.515
Tm  0.000  0.000  0.000
Mg  0.500  0.500  0.000
Mg  0.886  0.386  0.772
Mg  0.386  0.886  0.772
Mg  0.114  0.614  0.228
Mg  0.614  0.114  0.228

Results
density = 4.5 Mg/m³
E_form = -65 meV per atom
energy = -2.8083 eV per atom